(1)
A relaxed structure of CsCo3Pb5. Source: OQMD via LeMat-Bulk, functional PBE.

The space group is P6/mmm (No. 191) and the conventional cell measures 5.4675, 5.4675 and 9.5614 Å, with angles of 90.00, 90.00 and 120.00 degrees. The inequivalent atoms are Cs at (0.0000, 0.0000, 0.0000), Co at (0.0000, 0.5000, 0.5000), Pb at (0.0000, 0.0000, 0.5000) and Pb at (0.3333, 0.6667, 0.2696).

As for the magnetization: 0.01 μB/cell. The final energy is -4.390 eV/atom.

=====

(2)
A relaxed structure of RbNp. Source: OQMD via LeMat-Bulk, functional PBE.

The space group is P-6m2 (No. 187) and the conventional cell measures 3.5036, 3.5036 and 7.5243 Å, with angles of 90.00, 90.00 and 120.00 degrees. The inequivalent atoms are Rb at (0.0000, 0.0000, 0.0000) and Np at (0.3333, 0.6667, 0.5000).

As for the magnetization: 5.73 μB/cell. The final energy is -5.617 eV/atom.

=====

(3)
A relaxed structure of Co2NiC2. Source: OQMD via LeMat-Bulk, functional PBE.

The space group is Iba2 (No. 45) and the conventional cell measures 3.7667, 10.5935 and 4.5505 Å, with angles of 90.00, 90.00 and 90.00 degrees. The inequivalent atoms are Co at (0.1680, 0.1803, 0.0000), Ni at (0.0000, 0.5000, 0.1881) and C at (0.1892, 0.3617, 0.9188).

As for the magnetization: 0.07 μB/cell. The final energy is -7.197 eV/atom.

=====

Question: Which formula does entry 2 have?
Answer: RbNp